[1]
# Ta3Tl2O8F PBE optimized geometry
# total magnetic moment	0.0040	μB/atom
# VASP energy	-8.06	eV/atom
data_Ta3Tl2O8F
_cell_length_a 6.1576
_cell_length_b 6.1576
_cell_length_c 24.2890
_cell_angle_alpha 90.00
_cell_angle_beta 90.00
_cell_angle_gamma 120.00
_symmetry_space_group_name_H-M 'R 3 m'
_symmetry_Int_Tables_number 160
_symmetry_space_group_name_Hall 'R 3 -2"'
loop_
_atom_site_label
_atom_site_type_symbol
_atom_site_fract_x
_atom_site_fract_y
_atom_site_fract_z
Ta1 Ta 0.1674 0.3349 0.0000
Tl1 Tl 0.0000 0.0000 0.1894
Tl2 Tl 0.0000 0.0000 0.7873
O1 O 0.0000 0.0000 0.3779
O2 O 0.0000 0.0000 0.9555
O3 O 0.0361 0.5181 0.9581
O4 O 0.1813 0.3627 0.7085
F1 F 0.0000 0.0000 0.4941



[2]
# Cs2BaFeAg PBE optimized geometry
# total magnetic moment	0.2469	μB/atom
# formation energy	0.7694	eV/atom
data_Cs2BaFeAg
_cell_length_a 6.134
_cell_length_b 6.134
_cell_length_c 5.644
_cell_angle_alpha 90.00
_cell_angle_beta 90.00
_cell_angle_gamma 90.00
_symmetry_space_group_name_H-M 'P 4/m m m'
_symmetry_Int_Tables_number 123
_symmetry_space_group_name_Hall '-P 4 2'
loop_
_atom_site_label
_atom_site_type_symbol
_atom_site_fract_x
_atom_site_fract_y
_atom_site_fract_z
Cs1 Cs 0.000 0.500 0.000
Ba1 Ba 0.000 0.000 0.500
Fe1 Fe 0.000 0.000 0.000
Ag1 Ag 0.500 0.500 0.500



[3]
# KTl3Sb2Se6 PBE optimized geometry
# total magnetic moment	0.0000	μB/atom
# VASP energy	-3.54	eV/atom
data_KTl3Sb2Se6
_cell_length_a 18.572
_cell_length_b 4.243
_cell_length_c 9.149
_cell_angle_alpha 90.00
_cell_angle_beta 99.11
_cell_angle_gamma 90.00
_symmetry_space_group_name_H-M 'C 1 2/m 1'
_symmetry_Int_Tables_number 12
loop_
_symmetry_equiv_pos_as_xyz
'x,y,z'
'-x,-y,-z'
'-x,y,-z'
'x,-y,z'
'x+1/2,y+1/2,z'
'-x+1/2,-y+1/2,-z'
'-x+1/2,y+1/2,-z'
'x+1/2,-y+1/2,z'
loop_
_atom_site_label
_atom_site_type_symbol
_atom_site_fract_x
_atom_site_fract_y
_atom_site_fract_z
K1 K 0.000 0.000 0.000
Tl1 Tl 0.000 0.000 0.500
Tl2 Tl 0.161 0.500 0.838
Sb1 Sb 0.168 0.500 0.344
Se1 Se 0.022 0.500 0.285
Se2 Se 0.156 0.000 0.572
Se3 Se 0.174 0.000 0.140



The lowest total magnetic moment belongs to which entry? KTl3Sb2Se6



Look up the total magnetic moment of the second one. 0.2469 μB/atom



total magnetic moment of number 1 (Ta3Tl2O8F)? 0.0040 μB/atom